Record 1
First-principles (PBEsol) data for a relaxed structure of MnCu2Rh, as listed in Alexandria via LeMat-Bulk.

Cell and atoms, written as CIF:
```
data_MnCu2Rh
_chemical_formula_sum 'Mn2 Cu4 Rh2'
_cell_length_a 3.706
_cell_length_b 3.706
_cell_length_c 7.162
_cell_angle_alpha 90.00
_cell_angle_beta 90.00
_cell_angle_gamma 90.00
_symmetry_space_group_name_H-M 'I -4 m 2'
_symmetry_Int_Tables_number 119
_symmetry_space_group_name_Hall 'I -4 -2'
loop_
_atom_site_label
_atom_site_type_symbol
_atom_site_fract_x
_atom_site_fract_y
_atom_site_fract_z
Mn1 Mn 0.000 0.000 0.000
Cu1 Cu 0.000 0.000 0.500
Cu2 Cu 0.000 0.500 0.750
Rh1 Rh 0.000 0.500 0.250
```

Properties
calculated formation energy: 0.0345 eV per atom

---

Record 2
First-principles (PBEsol) data for a relaxed structure of MnCuRh2, as listed in Alexandria via LeMat-Bulk.

Cell and atoms, written as CIF:
```
data_MnCuRh2
_chemical_formula_sum 'Mn2 Cu2 Rh4'
_cell_length_a 3.796
_cell_length_b 3.796
_cell_length_c 6.973
_cell_angle_alpha 90.00
_cell_angle_beta 90.00
_cell_angle_gamma 90.00
_symmetry_space_group_name_H-M 'I 4/m m m'
_symmetry_Int_Tables_number 139
_symmetry_space_group_name_Hall '-I 4 2'
loop_
_atom_site_label
_atom_site_type_symbol
_atom_site_fract_x
_atom_site_fract_y
_atom_site_fract_z
Mn1 Mn 0.000 0.000 0.000
Cu1 Cu 0.000 0.000 0.500
Rh1 Rh 0.000 0.500 0.250
```

Properties
calculated formation energy: -0.0089 eV per atom

---

Record 3
First-principles (PBEsol) data for a relaxed structure of MnCu2Rh, as listed in Alexandria via LeMat-Bulk.

Cell and atoms, written as CIF:
```
data_MnCu2Rh
_chemical_formula_sum 'Mn2 Cu4 Rh2'
_cell_length_a 3.597
_cell_length_b 3.597
_cell_length_c 7.619
_cell_angle_alpha 90.00
_cell_angle_beta 90.00
_cell_angle_gamma 90.00
_symmetry_space_group_name_H-M 'I 4/m m m'
_symmetry_Int_Tables_number 139
_symmetry_space_group_name_Hall '-I 4 2'
loop_
_atom_site_label
_atom_site_type_symbol
_atom_site_fract_x
_atom_site_fract_y
_atom_site_fract_z
Mn1 Mn 0.000 0.000 0.000
Cu1 Cu 0.000 0.500 0.250
Rh1 Rh 0.000 0.000 0.500
```

Properties
calculated formation energy: 0.0404 eV per atom

---

Record 4
First-principles (PBEsol) data for a relaxed structure of MnCuRh2, as listed in Alexandria via LeMat-Bulk.

Cell and atoms, written as CIF:
```
data_MnCuRh2
_chemical_formula_sum 'Mn2 Cu2 Rh4'
_cell_length_a 3.655
_cell_length_b 3.655
_cell_length_c 7.594
_cell_angle_alpha 90.00
_cell_angle_beta 90.00
_cell_angle_gamma 90.00
_symmetry_space_group_name_H-M 'I -4 m 2'
_symmetry_Int_Tables_number 119
_symmetry_space_group_name_Hall 'I -4 -2'
loop_
_atom_site_label
_atom_site_type_symbol
_atom_site_fract_x
_atom_site_fract_y
_atom_site_fract_z
Mn1 Mn 0.000 0.000 0.000
Cu1 Cu 0.000 0.500 0.750
Rh1 Rh 0.000 0.000 0.500
Rh2 Rh 0.000 0.500 0.250
```

Properties
calculated formation energy: 0.0176 eV per atom

---

Record 5
First-principles (PBEsol) data for a relaxed structure of MnCu2Ru, as listed in Alexandria via LeMat-Bulk.

Cell and atoms, written as CIF:
```
data_MnCu2Ru
_chemical_formula_sum 'Mn1 Cu2 Ru1'
_cell_length_a 2.492
_cell_length_b 4.265
_cell_length_c 4.671
_cell_angle_alpha 90.00
_cell_angle_beta 97.94
_cell_angle_gamma 90.00
_symmetry_space_group_name_H-M 'P 1 2/m 1'
_symmetry_Int_Tables_number 10
loop_
_symmetry_equiv_pos_as_xyz
'x,y,z'
'-x,-y,-z'
'-x,y,-z'
'x,-y,z'
loop_
_atom_site_label
_atom_site_type_symbol
_atom_site_fract_x
_atom_site_fract_y
_atom_site_fract_z
Mn1 Mn 0.000 0.000 0.000
Cu1 Cu 0.199 0.500 0.754
Ru1 Ru 0.500 0.000 0.500
```

Properties
calculated formation energy: 0.3078 eV per atom

---

Record 6
First-principles (PBEsol) data for a relaxed structure of MnCu2Ru, as listed in Alexandria via LeMat-Bulk.

Cell and atoms, written as CIF:
```
data_MnCu2Ru
_chemical_formula_sum 'Mn1 Cu2 Ru1'
_cell_length_a 2.626
_cell_length_b 3.498
_cell_length_c 5.213
_cell_angle_alpha 90.00
_cell_angle_beta 90.00
_cell_angle_gamma 90.00
_symmetry_space_group_name_H-M 'P m m 2'
_symmetry_Int_Tables_number 25
loop_
_symmetry_equiv_pos_as_xyz
'x,y,z'
'-x,-y,z'
'-x,y,z'
'x,-y,z'
loop_
_atom_site_label
_atom_site_type_symbol
_atom_site_fract_x
_atom_site_fract_y
_atom_site_fract_z
Mn1 Mn 0.000 0.000 0.000
Cu1 Cu 0.000 0.000 0.504
Cu2 Cu 0.500 0.500 0.728
Ru1 Ru 0.500 0.500 0.221
```

Properties
calculated formation energy: 0.1856 eV per atom

---

Record 7
First-principles (PBEsol) data for a relaxed structure of MnCu2Ru, as listed in Alexandria via LeMat-Bulk.

Cell and atoms, written as CIF:
```
data_MnCu2Ru
_chemical_formula_sum 'Mn4 Cu8 Ru4'
_cell_length_a 5.796
_cell_length_b 5.796
_cell_length_c 5.796
_cell_angle_alpha 90.00
_cell_angle_beta 90.00
_cell_angle_gamma 90.00
_symmetry_space_group_name_H-M 'F -4 3 m'
_symmetry_Int_Tables_number 216
_symmetry_space_group_name_Hall 'F -4 2 3'
loop_
_atom_site_label
_atom_site_type_symbol
_atom_site_fract_x
_atom_site_fract_y
_atom_site_fract_z
Mn1 Mn 0.000 0.000 0.000
Cu1 Cu 0.000 0.000 0.500
Cu2 Cu 0.250 0.250 0.750
Ru1 Ru 0.250 0.250 0.250
```

Properties
calculated formation energy: 0.2900 eV per atom

---

Record 8
First-principles (PBEsol) data for a relaxed structure of MnCu2Ru, as listed in Alexandria via LeMat-Bulk.

Cell and atoms, written as CIF:
```
data_MnCu2Ru
_chemical_formula_sum 'Mn2 Cu4 Ru2'
_cell_length_a 4.993
_cell_length_b 8.627
_cell_length_c 2.499
_cell_angle_alpha 90.00
_cell_angle_beta 113.23
_cell_angle_gamma 90.00
_symmetry_space_group_name_H-M 'C 1 2/m 1'
_symmetry_Int_Tables_number 12
loop_
_symmetry_equiv_pos_as_xyz
'x,y,z'
'-x,-y,-z'
'-x,y,-z'
'x,-y,z'
'x+1/2,y+1/2,z'
'-x+1/2,-y+1/2,-z'
'-x+1/2,y+1/2,-z'
'x+1/2,-y+1/2,z'
loop_
_atom_site_label
_atom_site_type_symbol
_atom_site_fract_x
_atom_site_fract_y
_atom_site_fract_z
Mn1 Mn 0.000 0.000 0.000
Cu1 Cu 0.250 0.250 0.500
Ru1 Ru 0.000 0.500 0.000
```

Properties
calculated formation energy: 0.3129 eV per atom

---

Record 9
First-principles (PBEsol) data for a relaxed structure of MnCu2Ru, as listed in Alexandria via LeMat-Bulk.

Cell and atoms, written as CIF:
```
data_MnCu2Ru
_chemical_formula_sum 'Mn2 Cu4 Ru2'
_cell_length_a 3.670
_cell_length_b 3.670
_cell_length_c 7.117
_cell_angle_alpha 90.00
_cell_angle_beta 90.00
_cell_angle_gamma 90.00
_symmetry_space_group_name_H-M 'I -4 m 2'
_symmetry_Int_Tables_number 119
_symmetry_space_group_name_Hall 'I -4 -2'
loop_
_atom_site_label
_atom_site_type_symbol
_atom_site_fract_x
_atom_site_fract_y
_atom_site_fract_z
Mn1 Mn 0.000 0.000 0.000
Cu1 Cu 0.000 0.000 0.500
Cu2 Cu 0.000 0.500 0.750
Ru1 Ru 0.000 0.500 0.250
```

Properties
calculated formation energy: 0.2164 eV per atom

---

Record 10
First-principles (PBEsol) data for a relaxed structure of MnCu2Sn3S8, as listed in Alexandria via LeMat-Bulk.

Cell and atoms, written as CIF:
```
data_MnCu2Sn3S8
_chemical_formula_sum 'Mn3 Cu6 Sn9 S24'
_cell_length_a 7.2121
_cell_length_b 7.2121
_cell_length_c 17.7680
_cell_angle_alpha 90.00
_cell_angle_beta 90.00
_cell_angle_gamma 120.00
_symmetry_space_group_name_H-M 'R -3 m'
_symmetry_Int_Tables_number 166
_symmetry_space_group_name_Hall '-R 3 2"'
loop_
_atom_site_label
_atom_site_type_symbol
_atom_site_fract_x
_atom_site_fract_y
_atom_site_fract_z
Mn1 Mn 0.0000 0.0000 0.0000
Cu1 Cu 0.0000 0.0000 0.3797
Sn1 Sn 0.0000 0.5000 0.5000
S1 S 0.0000 0.0000 0.2529
S2 S 0.0275 0.5137 0.7421
```

Properties
formation energy without anion corrections: -6.20 eV/f.u.

---

Record 11
First-principles (PBEsol) data for a relaxed structure of MnCu2TeS, as listed in Alexandria via LeMat-Bulk.

Cell and atoms, written as CIF:
```
data_MnCu2TeS
_chemical_formula_sum 'Mn1 Cu2 Te1 S1'
_cell_length_a 4.657
_cell_length_b 4.657
_cell_length_c 5.245
_cell_angle_alpha 90.00
_cell_angle_beta 90.00
_cell_angle_gamma 90.00
_symmetry_space_group_name_H-M 'P 4/m m m'
_symmetry_Int_Tables_number 123
_symmetry_space_group_name_Hall '-P 4 2'
loop_
_atom_site_label
_atom_site_type_symbol
_atom_site_fract_x
_atom_site_fract_y
_atom_site_fract_z
Mn1 Mn 0.000 0.000 0.000
Cu1 Cu 0.000 0.500 0.500
Te1 Te 0.000 0.000 0.500
S1 S 0.500 0.500 0.000
```

Properties
formation energy without anion corrections: 4.08 eV/f.u.

---

Record 12
First-principles (PBEsol) data for a relaxed structure of MnCuSb2, as listed in Alexandria via LeMat-Bulk.

Cell and atoms, written as CIF:
```
data_MnCuSb2
_chemical_formula_sum 'Mn4 Cu4 Sb8'
_cell_length_a 6.654
_cell_length_b 6.654
_cell_length_c 6.654
_cell_angle_alpha 90.00
_cell_angle_beta 90.00
_cell_angle_gamma 90.00
_symmetry_space_group_name_H-M 'F m -3 m'
_symmetry_Int_Tables_number 225
_symmetry_space_group_name_Hall '-F 4 2 3'
loop_
_atom_site_label
_atom_site_type_symbol
_atom_site_fract_x
_atom_site_fract_y
_atom_site_fract_z
Mn1 Mn 0.000 0.000 0.000
Cu1 Cu 0.000 0.000 0.500
Sb1 Sb 0.250 0.250 0.250
```

Properties
formation energy without anion corrections: 1.44 eV/f.u.

---

Record 13
First-principles (PBEsol) data for a relaxed structure of MnCuSb2, as listed in Alexandria via LeMat-Bulk.

Cell and atoms, written as CIF:
```
data_MnCuSb2
_chemical_formula_sum 'Mn2 Cu2 Sb4'
_cell_length_a 3.971
_cell_length_b 3.663
_cell_length_c 9.840
_cell_angle_alpha 90.00
_cell_angle_beta 90.00
_cell_angle_gamma 90.00
_symmetry_space_group_name_H-M 'A m m 2'
_symmetry_Int_Tables_number 38
loop_
_symmetry_equiv_pos_as_xyz
'x,y,z'
'-x,-y,z'
'-x,y,z'
'x,-y,z'
'x,y+1/2,z+1/2'
'-x,-y+1/2,z+1/2'
'-x,y+1/2,z+1/2'
'x,-y+1/2,z+1/2'
loop_
_atom_site_label
_atom_site_type_symbol
_atom_site_fract_x
_atom_site_fract_y
_atom_site_fract_z
Mn1 Mn 0.000 0.000 0.000
Cu1 Cu 0.500 0.000 0.839
Sb1 Sb 0.000 0.000 0.284
Sb2 Sb 0.500 0.000 0.566
```

Properties
formation energy without anion corrections: 0.34 eV/f.u.

---

Record 14
First-principles (PBEsol) data for a relaxed structure of ScMn2Cu, as listed in Alexandria via LeMat-Bulk.

Cell and atoms, written as CIF:
```
data_ScMn2Cu
_chemical_formula_sum 'Sc3 Mn6 Cu3'
_cell_length_a 2.8145
_cell_length_b 2.8145
_cell_length_c 24.4841
_cell_angle_alpha 90.00
_cell_angle_beta 90.00
_cell_angle_gamma 120.00
_symmetry_space_group_name_H-M 'R 3 m'
_symmetry_Int_Tables_number 160
_symmetry_space_group_name_Hall 'R 3 -2"'
loop_
_atom_site_label
_atom_site_type_symbol
_atom_site_fract_x
_atom_site_fract_y
_atom_site_fract_z
Sc1 Sc 0.0000 0.0000 0.0000
Mn1 Mn 0.0000 0.0000 0.2439
Mn2 Mn 0.0000 0.0000 0.5070
Cu1 Cu 0.0000 0.0000 0.7597
```

Properties
calculated formation energy: 0.3669 eV per atom

---

Record 15
First-principles (PBEsol) data for a relaxed structure of ScMnCu, as listed in Alexandria via LeMat-Bulk.

Cell and atoms, written as CIF:
```
data_ScMnCu
_chemical_formula_sum 'Sc1 Mn1 Cu1'
_cell_length_a 4.1992
_cell_length_b 4.1992
_cell_length_c 3.0708
_cell_angle_alpha 90.00
_cell_angle_beta 90.00
_cell_angle_gamma 120.00
_symmetry_space_group_name_H-M 'P 3 m 1'
_symmetry_Int_Tables_number 156
loop_
_symmetry_equiv_pos_as_xyz
'x,y,z'
'-y,x-y,z'
'-x+y,-x,z'
'-y,-x,z'
'-x+y,y,z'
'x,x-y,z'
loop_
_atom_site_label
_atom_site_type_symbol
_atom_site_fract_x
_atom_site_fract_y
_atom_site_fract_z
Sc1 Sc 0.0000 0.0000 0.0000
Mn1 Mn 0.6667 0.3333 0.5020
Cu1 Cu 0.3333 0.6667 0.4971
```

Properties
calculated formation energy: 0.1509 eV per atom

---

Record 16
First-principles (PBEsol) data for a relaxed structure of Sc2MnCu, as listed in Alexandria via LeMat-Bulk.

Cell and atoms, written as CIF:
```
data_Sc2MnCu
_chemical_formula_sum 'Sc2 Mn1 Cu1'
_cell_length_a 3.138
_cell_length_b 3.138
_cell_length_c 6.504
_cell_angle_alpha 90.00
_cell_angle_beta 90.00
_cell_angle_gamma 90.00
_symmetry_space_group_name_H-M 'P 4/m m m'
_symmetry_Int_Tables_number 123
_symmetry_space_group_name_Hall '-P 4 2'
loop_
_atom_site_label
_atom_site_type_symbol
_atom_site_fract_x
_atom_site_fract_y
_atom_site_fract_z
Sc1 Sc 0.000 0.000 0.240
Mn1 Mn 0.500 0.500 0.000
Cu1 Cu 0.500 0.500 0.500
```

Properties
calculated formation energy: -0.0576 eV per atom

---

Record 17
First-principles (PBEsol) data for a relaxed structure of MnCu3Se, as listed in Alexandria via LeMat-Bulk.

Cell and atoms, written as CIF:
```
data_MnCu3Se
_chemical_formula_sum 'Mn1 Cu3 Se1'
_cell_length_a 4.472
_cell_length_b 4.472
_cell_length_c 4.472
_cell_angle_alpha 90.00
_cell_angle_beta 90.00
_cell_angle_gamma 90.00
_symmetry_space_group_name_H-M 'P m -3 m'
_symmetry_Int_Tables_number 221
_symmetry_space_group_name_Hall '-P 4 2 3'
loop_
_atom_site_label
_atom_site_type_symbol
_atom_site_fract_x
_atom_site_fract_y
_atom_site_fract_z
Mn1 Mn 0.000 0.000 0.000
Cu1 Cu 0.000 0.500 0.500
Se1 Se 0.500 0.500 0.500
```

Properties
formation energy without anion corrections: 4.40 eV/f.u.

---

Record 18
First-principles (PBEsol) data for a relaxed structure of Mn2CuSe, as listed in Alexandria via LeMat-Bulk.

Cell and atoms, written as CIF:
```
data_Mn2CuSe
_chemical_formula_sum 'Mn4 Cu2 Se2'
_cell_length_a 3.738
_cell_length_b 3.738
_cell_length_c 7.427
_cell_angle_alpha 90.00
_cell_angle_beta 90.00
_cell_angle_gamma 90.00
_symmetry_space_group_name_H-M 'I 4/m m m'
_symmetry_Int_Tables_number 139
_symmetry_space_group_name_Hall '-I 4 2'
loop_
_atom_site_label
_atom_site_type_symbol
_atom_site_fract_x
_atom_site_fract_y
_atom_site_fract_z
Mn1 Mn 0.000 0.500 0.250
Cu1 Cu 0.000 0.000 0.000
Se1 Se 0.000 0.000 0.500
```

Properties
formation energy without anion corrections: 1.03 eV/f.u.

---

Record 19
First-principles (PBEsol) data for a relaxed structure of MnCuSe, as listed in Alexandria via LeMat-Bulk.

Cell and atoms, written as CIF:
```
data_MnCuSe
_chemical_formula_sum 'Mn1 Cu1 Se1'
_cell_length_a 3.7553
_cell_length_b 3.7553
_cell_length_c 3.9291
_cell_angle_alpha 90.00
_cell_angle_beta 90.00
_cell_angle_gamma 120.00
_symmetry_space_group_name_H-M 'P 3 m 1'
_symmetry_Int_Tables_number 156
loop_
_symmetry_equiv_pos_as_xyz
'x,y,z'
'-y,x-y,z'
'-x+y,-x,z'
'-y,-x,z'
'-x+y,y,z'
'x,x-y,z'
loop_
_atom_site_label
_atom_site_type_symbol
_atom_site_fract_x
_atom_site_fract_y
_atom_site_fract_z
Mn1 Mn 0.0000 0.0000 0.0000
Cu1 Cu 0.6667 0.3333 0.3483
Se1 Se 0.3333 0.6667 0.6317
```

Properties
relative energy among the computed polymorphs: 0.029 eV/atom
formation energy without anion corrections: 0.57 eV/f.u.

---

Record 20
First-principles (PBEsol) data for a relaxed structure of MnCuSe, as listed in Alexandria via LeMat-Bulk.

Cell and atoms, written as CIF:
```
data_MnCuSe
_chemical_formula_sum 'Mn4 Cu4 Se4'
_cell_length_a 5.782
_cell_length_b 5.782
_cell_length_c 5.782
_cell_angle_alpha 90.00
_cell_angle_beta 90.00
_cell_angle_gamma 90.00
_symmetry_space_group_name_H-M 'F -4 3 m'
_symmetry_Int_Tables_number 216
_symmetry_space_group_name_Hall 'F -4 2 3'
loop_
_atom_site_label
_atom_site_type_symbol
_atom_site_fract_x
_atom_site_fract_y
_atom_site_fract_z
Mn1 Mn 0.000 0.000 0.000
Cu1 Cu 0.250 0.250 0.750
Se1 Se 0.250 0.250 0.250
```

Properties
relative energy among the computed polymorphs: 0.000 eV/atom
formation energy without anion corrections: 0.48 eV/f.u.

---

| no. | calculated total energy (eV per atom) | D(E_F) (states/eV/cell) |
| --- | --- | --- |
| 1 | -6.61 | 6.39 |
| 2 | -7.60 | 6.89 |
| 3 | -6.60 | 4.55 |
| 4 | -7.58 | 10.42 |
| 5 | -6.84 | 3.48 |
| 6 | -6.96 | 2.93 |
| 7 | -6.86 | 19.09 |
| 8 | -6.84 | 6.44 |
| 9 | -6.93 | 6.58 |
| 10 | -5.18 | 10.76 |
| 11 | -4.45 | 0.58 |
| 12 | -5.44 | 9.55 |
| 13 | -5.72 | 4.55 |
| 14 | -7.25 | 9.55 |
| 15 | -6.75 | 3.54 |
| 16 | -6.88 | 4.58 |
| 17 | -4.44 | 2.79 |
| 18 | -6.67 | 5.92 |
| 19 | -5.79 | 0.95 |
| 20 | -5.82 | 7.58 |